# 1
Compound: RbZn2Pt2
Source: the Alexandria database
Functional: PBE
Structure: relaxed

```
data_RbZn2Pt2
_symmetry_space_group_name_H-M 'P 1'
_symmetry_Int_Tables_number 1
_cell_length_a 8.055
_cell_length_b 8.055
_cell_length_c 2.865
_cell_angle_alpha 90.00
_cell_angle_beta 90.00
_cell_angle_gamma 90.00
loop_
_symmetry_equiv_pos_as_xyz
'x,y,z'
loop_
_atom_site_label
_atom_site_fract_x
_atom_site_fract_y
_atom_site_fract_z
Zn1 0.148 0.648 0.500
Zn2 0.648 0.852 0.500
Zn3 0.852 0.352 0.500
Zn4 0.352 0.148 0.500
Rb1 0.000 0.000 0.000
Rb2 0.500 0.500 0.000
Pt1 0.360 0.860 0.000
Pt2 0.860 0.640 0.000
Pt3 0.640 0.140 0.000
Pt4 0.140 0.360 0.000
```

Computed properties:
Relative energy among the computed polymorphs   0.00 eV per formula unit
Crystal system   tetragonal
ΔH_f (0 K)   -230.5 meV per atom
Space group   P4/mbm



# 2
Compound: Pr2SmLu
Source: the Alexandria database
Functional: PBE
Structure: relaxed

```
data_Pr2SmLu
_symmetry_space_group_name_H-M 'P 1'
_symmetry_Int_Tables_number 1
_cell_length_a 5.772
_cell_length_b 5.772
_cell_length_c 5.772
_cell_angle_alpha 60.00
_cell_angle_beta 60.00
_cell_angle_gamma 60.00
loop_
_symmetry_equiv_pos_as_xyz
'x,y,z'
loop_
_atom_site_label
_atom_site_fract_x
_atom_site_fract_y
_atom_site_fract_z
Pr1 0.250 0.250 0.250
Pr2 0.750 0.750 0.750
Lu1 0.000 0.000 0.000
Sm1 0.500 0.500 0.500
```

Computed properties:
Relative energy among the computed polymorphs   0.38 eV per formula unit
Crystal system   cubic
ΔH_f (0 K)   111.1 meV per atom
Space group   Fm-3m



# 3
Compound: NaLiMg6O7
Source: the Alexandria database
Functional: PBE
Structure: relaxed

```
data_NaLiMg6O7
_symmetry_space_group_name_H-M 'P 1'
_symmetry_Int_Tables_number 1
_cell_length_a 4.320
_cell_length_b 4.320
_cell_length_c 8.487
_cell_angle_alpha 90.00
_cell_angle_beta 90.00
_cell_angle_gamma 90.00
loop_
_symmetry_equiv_pos_as_xyz
'x,y,z'
loop_
_atom_site_label
_atom_site_fract_x
_atom_site_fract_y
_atom_site_fract_z
Na1 0.000 0.000 0.513
Li1 0.000 0.000 0.981
Mg1 0.500 0.500 0.002
Mg2 0.500 0.500 0.497
Mg3 0.000 0.500 0.247
Mg4 0.000 0.500 0.759
Mg5 0.500 0.000 0.247
Mg6 0.500 0.000 0.759
O1 0.000 0.000 0.764
O2 0.500 0.500 0.247
O3 0.500 0.500 0.750
O4 0.000 0.500 0.016
O5 0.000 0.500 0.477
O6 0.500 0.000 0.016
O7 0.500 0.000 0.477
```

Computed properties:
Relative energy among the computed polymorphs   0.00 eV per formula unit
Crystal system   tetragonal
ΔE_f (raw)   -2245 meV per atom
Space group   P4mm



# 4
Compound: Th2Pt2O7
Source: the Alexandria database
Functional: PBE
Structure: relaxed

```
data_Th2Pt2O7
_symmetry_space_group_name_H-M 'P 1'
_symmetry_Int_Tables_number 1
_cell_length_a 7.570
_cell_length_b 7.570
_cell_length_c 7.570
_cell_angle_alpha 60.00
_cell_angle_beta 60.00
_cell_angle_gamma 60.00
loop_
_symmetry_equiv_pos_as_xyz
'x,y,z'
loop_
_atom_site_label
_atom_site_fract_x
_atom_site_fract_y
_atom_site_fract_z
Th1 0.625 0.625 0.625
Th2 0.625 0.625 0.125
Th3 0.625 0.125 0.625
Th4 0.125 0.625 0.625
Pt1 0.625 0.125 0.125
Pt2 0.125 0.625 0.125
Pt3 0.125 0.125 0.625
Pt4 0.125 0.125 0.125
O1 0.226 0.226 0.774
O2 0.226 0.774 0.226
O3 0.476 0.024 0.476
O4 0.476 0.476 0.024
O5 0.750 0.750 0.750
O6 0.774 0.226 0.226
O7 0.476 0.024 0.024
O8 0.024 0.476 0.476
O9 0.024 0.024 0.476
O10 0.024 0.476 0.024
O11 0.226 0.774 0.774
O12 0.500 0.500 0.500
O13 0.774 0.226 0.774
O14 0.774 0.774 0.226
```

Computed properties:
Crystal system   cubic
ΔE_f (raw)   -2017 meV per atom
Space group   Fd-3m



# 5
Compound: Hf5P6
Source: the Alexandria database
Functional: PBE
Structure: relaxed

```
data_Hf5P6
_symmetry_space_group_name_H-M 'P 1'
_symmetry_Int_Tables_number 1
_cell_length_a 6.371
_cell_length_b 6.370
_cell_length_c 6.375
_cell_angle_alpha 119.98
_cell_angle_beta 99.61
_cell_angle_gamma 70.49
loop_
_symmetry_equiv_pos_as_xyz
'x,y,z'
loop_
_atom_site_label
_atom_site_fract_x
_atom_site_fract_y
_atom_site_fract_z
Hf1 0.500 0.500 0.000
Hf2 0.000 0.666 0.331
Hf3 0.000 0.334 0.669
Hf4 0.500 0.833 0.666
Hf5 0.500 0.167 0.334
P1 0.755 0.757 0.000
P2 0.245 0.243 0.000
P3 0.756 0.081 0.676
P4 0.244 0.595 0.676
P5 0.244 0.919 0.324
P6 0.756 0.405 0.324
```

Computed properties:
Crystal system   monoclinic
ΔH_f (0 K)   -1152.2 meV per atom
Space group   C2/m



# 6
Compound: LaTb3Y7
Source: the Alexandria database
Functional: PBE
Structure: relaxed

```
data_LaTb3Y7
_symmetry_space_group_name_H-M 'P 1'
_symmetry_Int_Tables_number 1
_cell_length_a 8.675
_cell_length_b 7.117
_cell_length_c 7.117
_cell_angle_alpha 120.00
_cell_angle_beta 90.00
_cell_angle_gamma 90.00
loop_
_symmetry_equiv_pos_as_xyz
'x,y,z'
loop_
_atom_site_label
_atom_site_fract_x
_atom_site_fract_y
_atom_site_fract_z
La1 0.449 0.333 0.667
Tb1 0.785 0.501 0.499
Tb2 0.785 0.501 0.001
Tb3 0.785 0.999 0.499
Y1 0.116 0.167 0.833
Y2 0.116 0.167 0.335
Y3 0.117 0.667 0.333
Y4 0.449 0.832 0.168
Y5 0.449 0.335 0.168
Y6 0.449 0.832 0.665
Y7 0.116 0.665 0.833
```

Computed properties:
Relative energy among the computed polymorphs   0.68 eV per formula unit
Crystal system   trigonal
ΔH_f (0 K)   202.3 meV per atom
Space group   P3m1



# 7
Compound: Ac8CuIr3Br3
Source: the Alexandria database
Functional: PBE
Structure: relaxed

```
data_Ac8CuIr3Br3
_symmetry_space_group_name_H-M 'P 1'
_symmetry_Int_Tables_number 1
_cell_length_a 8.827
_cell_length_b 8.817
_cell_length_c 9.474
_cell_angle_alpha 117.74
_cell_angle_beta 90.00
_cell_angle_gamma 120.04
loop_
_symmetry_equiv_pos_as_xyz
'x,y,z'
loop_
_atom_site_label
_atom_site_fract_x
_atom_site_fract_y
_atom_site_fract_z
Ac1 0.267 0.534 0.300
Ac2 0.733 0.466 0.700
Ac3 0.761 0.521 0.299
Ac4 0.239 0.479 0.701
Ac5 0.760 0.039 0.299
Ac6 0.240 0.961 0.701
Ac7 0.279 0.039 0.299
Ac8 0.721 0.961 0.701
Cu1 0.000 0.000 0.500
Ir1 0.500 0.000 0.500
Ir2 0.500 0.500 0.500
Ir3 0.000 0.500 0.500
Br1 0.000 0.000 0.000
Br2 0.000 0.500 0.000
Br3 0.500 0.500 0.000
```

Computed properties:
Crystal system   monoclinic
ΔE_f (raw)   -943 meV per atom
Space group   C2/m



# 8
Compound: LiCd2Sb
Source: the Alexandria database
Functional: PBE
Structure: relaxed

```
data_LiCd2Sb
_symmetry_space_group_name_H-M 'P 1'
_symmetry_Int_Tables_number 1
_cell_length_a 5.528
_cell_length_b 5.528
_cell_length_c 5.528
_cell_angle_alpha 132.28
_cell_angle_beta 132.30
_cell_angle_gamma 69.77
loop_
_symmetry_equiv_pos_as_xyz
'x,y,z'
loop_
_atom_site_label
_atom_site_fract_x
_atom_site_fract_y
_atom_site_fract_z
Cd1 0.000 0.000 0.000
Cd2 0.250 0.750 0.500
Li1 0.500 0.500 0.000
Sb1 0.750 0.250 0.500
```

Computed properties:
Crystal system   tetragonal
ΔE_f (raw)   -155 meV per atom
Space group   I-4m2



# 9
Compound: Ac2InGe3Rh4
Source: the Alexandria database
Functional: PBE
Structure: relaxed

```
data_Ac2InGe3Rh4
_symmetry_space_group_name_H-M 'P 1'
_symmetry_Int_Tables_number 1
_cell_length_a 4.352
_cell_length_b 4.352
_cell_length_c 10.797
_cell_angle_alpha 90.00
_cell_angle_beta 90.00
_cell_angle_gamma 90.00
loop_
_symmetry_equiv_pos_as_xyz
'x,y,z'
loop_
_atom_site_label
_atom_site_fract_x
_atom_site_fract_y
_atom_site_fract_z
Ac1 0.500 0.000 0.246
Ac2 0.000 0.500 0.754
In1 0.500 0.500 0.500
Ge1 0.000 0.000 0.500
Ge2 0.500 0.000 0.879
Ge3 0.000 0.500 0.121
Rh1 0.500 0.500 0.000
Rh2 0.000 0.000 0.000
Rh3 0.500 0.000 0.646
Rh4 0.000 0.500 0.354
```

Computed properties:
Crystal system   tetragonal
ΔH_f (0 K)   -771.9 meV per atom
Space group   P-4m2



# 10
Compound: La2Tl2Cu
Source: the Alexandria database
Functional: PBE
Structure: relaxed

```
data_La2Tl2Cu
_symmetry_space_group_name_H-M 'P 1'
_symmetry_Int_Tables_number 1
_cell_length_a 7.746
_cell_length_b 7.746
_cell_length_c 5.178
_cell_angle_alpha 90.00
_cell_angle_beta 90.00
_cell_angle_gamma 90.00
loop_
_symmetry_equiv_pos_as_xyz
'x,y,z'
loop_
_atom_site_label
_atom_site_fract_x
_atom_site_fract_y
_atom_site_fract_z
Tl1 0.155 0.655 0.500
Tl2 0.655 0.845 0.500
Tl3 0.845 0.345 0.500
Tl4 0.345 0.155 0.500
Cu1 0.000 0.000 0.000
Cu2 0.500 0.500 0.000
La1 0.351 0.851 0.000
La2 0.851 0.649 0.000
La3 0.649 0.149 0.000
La4 0.149 0.351 0.000
```

Computed properties:
Relative energy among the computed polymorphs   0.72 eV per formula unit
Crystal system   tetragonal
ΔH_f (0 K)   -42.0 meV per atom
Space group   P4/mbm



| no. | ρ (g/cm3) |
| --- | --- |
| 1 | 10.83 |
| 2 | 7.42 |
| 3 | 3.02 |
| 4 | 10.46 |
| 5 | 8.48 |
| 6 | 5.40 |
| 7 | 8.32 |
| 8 | 6.48 |
| 9 | 9.73 |
| 10 | 8.02 |